w:
# NaOsS3 (GGA-PBE, relaxed)
# theoretical density = 5.0 Mg/m³
data_NaOsS3
_chemical_formula_sum 'Na1 Os1 S3'
_cell_length_a 4.699
_cell_length_b 4.699
_cell_length_c 4.699
_cell_angle_alpha 90.00
_cell_angle_beta 90.00
_cell_angle_gamma 90.00
_symmetry_space_group_name_H-M 'P m -3 m'
_symmetry_Int_Tables_number 221
_symmetry_space_group_name_Hall '-P 4 2 3'
loop_
_atom_site_label
_atom_site_type_symbol
_atom_site_fract_x
_atom_site_fract_y
_atom_site_fract_z
Na1 Na 0.000 0.000 0.000
Os1 Os 0.500 0.500 0.500
S1 S 0.000 0.500 0.500



x:
# NaOsS3 (GGA-PBE, relaxed)
# theoretical density = 5.2 Mg/m³
data_NaOsS3
_chemical_formula_sum 'Na1 Os1 S3'
_cell_length_a 4.613
_cell_length_b 4.613
_cell_length_c 4.613
_cell_angle_alpha 90.00
_cell_angle_beta 90.00
_cell_angle_gamma 90.00
_symmetry_space_group_name_H-M 'P m -3 m'
_symmetry_Int_Tables_number 221
_symmetry_space_group_name_Hall '-P 4 2 3'
loop_
_atom_site_label
_atom_site_type_symbol
_atom_site_fract_x
_atom_site_fract_y
_atom_site_fract_z
Na1 Na 0.000 0.000 0.000
Os1 Os 0.500 0.500 0.500
S1 S 0.000 0.000 0.500



Most stable structure - w; separation to the second - 1849 meV/atom.



w:
# Na3OsS (GGA-PBE, relaxed)
# theoretical density = 2.8 Mg/m³
data_Na3OsS
_chemical_formula_sum 'Na3 Os1 S1'
_cell_length_a 5.567
_cell_length_b 5.567
_cell_length_c 5.567
_cell_angle_alpha 90.00
_cell_angle_beta 90.00
_cell_angle_gamma 90.00
_symmetry_space_group_name_H-M 'P m -3 m'
_symmetry_Int_Tables_number 221
_symmetry_space_group_name_Hall '-P 4 2 3'
loop_
_atom_site_label
_atom_site_type_symbol
_atom_site_fract_x
_atom_site_fract_y
_atom_site_fract_z
Na1 Na 0.000 0.000 0.500
Os1 Os 0.000 0.000 0.000
S1 S 0.500 0.500 0.500



x:
# Na3OsS (GGA-PBE, relaxed)
# theoretical density = 3.3 Mg/m³
data_Na3OsS
_chemical_formula_sum 'Na3 Os1 S1'
_cell_length_a 5.261
_cell_length_b 5.261
_cell_length_c 5.261
_cell_angle_alpha 90.00
_cell_angle_beta 90.00
_cell_angle_gamma 90.00
_symmetry_space_group_name_H-M 'P m -3 m'
_symmetry_Int_Tables_number 221
_symmetry_space_group_name_Hall '-P 4 2 3'
loop_
_atom_site_label
_atom_site_type_symbol
_atom_site_fract_x
_atom_site_fract_y
_atom_site_fract_z
Na1 Na 0.000 0.000 0.500
Os1 Os 0.500 0.500 0.500
S1 S 0.000 0.000 0.000



Most stable structure - x; separation to the second - 511 meV/atom.